Sr2AlGaPd2: optimized geometry, PBE-GGA.

Cell lengths 6.2875, 6.2912, 8.6432 Å; angles 111.44, 111.33, 90.00 degrees
Sites, in units of the cell vectors:
Sr  0.4131  0.1683  0.3368
Sr  0.5869  0.8317  0.6632
Sr  0.0763  0.3317  0.6632
Sr  0.9237  0.6683  0.3368
Al  0.4999  0.7500  0.0000
Al  0.5001  0.2500  0.0000
Ga  0.0001  0.7500  0.0000
Ga  0.9999  0.2500  0.0000
Pd  0.8325  0.0905  0.1809
Pd  0.3484  0.5905  0.1809
Pd  0.6516  0.4095  0.8191
Pd  0.1675  0.9095  0.8191

Calculated values
N(E_F) = 4.53 states/eV per cell
formation energy = -0.6361 eV/atom

=====

Sr2AlGaPd6: optimized geometry, PBE-GGA.

Cell lengths 6.7358, 6.7429, 6.7338 Å; angles 59.93, 59.97, 90.08 degrees
Sites, in units of the cell vectors:
Sr  0.7500  0.2501  0.4999
Sr  0.2500  0.7499  0.5001
Al  0.0000  0.0000  0.0000
Ga  0.5000  0.5000  0.0000
Pd  0.2473  0.2474  0.5052
Pd  0.7527  0.7526  0.9999
Pd  0.2475  0.7527  0.0000
Pd  0.7525  0.2473  0.0000
Pd  0.2473  0.2474  0.0001
Pd  0.7527  0.7526  0.4948

Calculated values
N(E_F) = 5.65 states/eV per cell
formation energy = -0.4594 eV/atom

=====

Sr2Al4Ga3Pd: optimized geometry, PBE-GGA.

Cell lengths 4.3882, 4.3882, 10.9915 Å; angles 90.00, 90.00, 90.00 degrees
Sites, in units of the cell vectors:
Sr  0.5000  0.0000  0.2532
Sr  0.0000  0.5000  0.7468
Al  0.5000  0.5000  0.0000
Al  0.0000  0.0000  0.0000
Al  0.5000  0.0000  0.6225
Al  0.0000  0.5000  0.3775
Ga  0.0000  0.0000  0.5000
Ga  0.5000  0.0000  0.8608
Ga  0.0000  0.5000  0.1392
Pd  0.5000  0.5000  0.5000

Calculated values
N(E_F) = 3.31 states/eV per cell
formation energy = -0.4595 eV/atom

=====

> What is the formation energy in the third record?

-0.4595 eV/atom

=====

> The lowest N(E_F) belongs to which entry?

Sr2Al4Ga3Pd

=====

> Which of these has the highest formation energy?

Sr2AlGaPd6

=====

> Among the records above, which one has the highest formation energy?

Sr2AlGaPd6